{
  "formula": "HgRh3W",
  "functional": "GGA-PBEsol",
  "state": "relaxed",
  "lattice_angstrom": [[-3.7371, -2.8763, -0.1852], [2.5188, -3.4066, 2.0794], [-1.4010, 1.5477, 4.2326]],
  "species": ["Rh", "Rh", "Rh", "Hg", "W"],
  "frac_coords": [[0.0000, 0.5000, 0.0000], [0.0000, 0.0000, 0.5000], [0.5000, 0.0000, 0.0000], [0.0000, 0.0000, 0.0000], [0.5000, 0.5000, 0.5000]],
  "delta_e_f_ev_per_atom": 2.47,
  "n_ef_per_ev_cell": 7.6,
  "crystal_system": "cubic"
}